9
Lattice="-0.935 3.636 -1.807 1.833 -3.115 -7.217 -6.692 -2.961 2.306" Properties=species:S:1:pos:R:3 comment="PaTl2Pd2Se4 | Alexandria via LeMat-Bulk | PBE | relaxed" energy_ev_per_cell=-45.359 density_g_cm3=8.28 raw_formation_energy_ev_per_atom=-0.76 pbc="T T T"
Pa 0.000 0.000 0.000
Tl -0.895 -2.170 -3.903
Tl -4.898 -0.270 -2.814
Pd -3.102 1.362 -0.459
Pd -2.692 -3.802 -6.258
Se -2.448 -1.050 -0.846
Se -3.345 -1.390 -5.871
Se 0.739 -0.610 -6.414
Se -6.533 -1.830 -0.303